# 1
KPdI2N | PBE | optimized geometry

Geometry as extended XYZ:
```
5
Lattice="6.412 0.000 0.000 0.000 6.412 0.000 0.000 0.000 5.046" Properties=species:S:1:pos:R:3 pbc="T T T"
K 0.000 0.000 0.000
Pd 3.206 3.206 2.523
I 0.000 3.206 0.000
I 3.206 0.000 0.000
N 0.000 0.000 2.523
```

Summary:
Its calculated volume is 41.5 A^3/atom. The value obtained for the relative energy among the computed polymorphs is 1172.7 meV per atom. Its raw total energy is -11.8 eV per cell. The calculated density is 3.309 g/cm³. Its energy relative to the elements, uncorrected is 5.9 eV/f.u.

# 2
LiDy2Pd5 | PBE | optimized geometry

Geometry as extended XYZ:
```
8
Lattice="-2.969 2.969 3.960 2.969 -2.969 3.960 2.969 2.969 -3.960" Properties=species:S:1:pos:R:3 pbc="T T T"
Li 0.000 0.000 0.000
Dy 2.969 0.000 3.950
Dy 0.000 2.969 3.950
Pd 0.000 0.000 3.950
Pd 1.485 1.485 1.971
Pd 1.484 -1.484 5.931
Pd -1.484 1.484 5.931
Pd 1.484 1.484 5.931
```

Summary:
Its calculated volume is 17.5 A^3/atom. Its raw total energy is -43.8 eV per cell. The calculated density is 10.276 g/cm³. The formation energy is -837.8 meV per atom.

# 3
NpSbTe | PBE | optimized geometry

Geometry as extended XYZ:
```
3
Lattice="0.000 3.648 3.648 3.648 0.000 3.648 3.648 3.648 0.000" Properties=species:S:1:pos:R:3 pbc="T T T"
Np 0.000 0.000 0.000
Sb 5.472 5.472 5.472
Te 1.824 1.824 1.824
```

Summary:
Its calculated volume is 32.4 A^3/atom. Its raw total energy is -20.5 eV per cell. The calculated density is 8.316 g/cm³. Its energy relative to the elements, uncorrected is -0.3 eV/f.u.

# 4
Cs2VCu2Br6 | PBE | optimized geometry

Geometry as extended XYZ:
```
11
Lattice="6.680 -3.856 0.000 6.680 3.856 0.000 -4.380 0.000 7.024" Properties=species:S:1:pos:R:3 pbc="T T T"
Cs 2.230 0.000 1.387
Cs 6.750 0.000 5.637
V -2.190 0.000 3.512
Cu 2.296 0.000 5.013
Cu 6.684 0.000 2.011
Br 5.502 2.047 1.839
Br -0.074 0.000 5.135
Br 3.478 2.047 5.184
Br 5.502 -2.047 1.839
Br 9.054 0.000 1.889
Br 3.478 -2.047 5.184
```

Summary:
Its calculated volume is 32.9 A^3/atom. Its raw total energy is -39.5 eV per cell. The calculated density is 4.237 g/cm³. Its energy relative to the elements, uncorrected is -10.4 eV/f.u.